Entry 1:
## MnCuTeCl2 (PBE-GGA)

Data for a relaxed MnCuTeCl2 crystal.

The value obtained for the volume is 109 Å³/cell. The value obtained for the total energy is -18.389 eV per formula unit.

It has space group P4/mmm (No. 123), with a = 4.2750 Å, b = 4.2750 Å, c = 5.9482 Å, α = 90.00°, β = 90.00° and γ = 90.00°. The asymmetric unit holds Mn at (0.0000, 0.0000, 0.0000), Cu at (0.0000, 0.0000, 0.5000), Te at (0.5000, 0.5000, 0.5000) and Cl at (0.0000, 0.5000, 0.0000).

=====

Entry 2:
## MnTlCuCl4 (PBE-GGA)

Data for a relaxed MnTlCuCl4 crystal.

The value obtained for the volume is 366 Å³/cell. The value obtained for the total energy is -28.848 eV per formula unit.

It has space group P2_1/m (No. 11), with a = 6.1481 Å, b = 7.0472 Å, c = 8.6679 Å, α = 90.00°, β = 102.70° and γ = 90.00°. The asymmetric unit holds Mn at (0.2320, 0.2500, 0.3377), Tl at (0.2378, 0.7500, 0.0516), Cu at (0.1212, 0.7500, 0.5092), Cl at (0.0493, 0.5053, 0.6963), Cl at (0.3242, 0.2500, 0.0879) and Cl at (0.4677, 0.7500, 0.4445).

=====

Entry 3:
## MnTl4Cu3Cl12 (PBE-GGA)

Data for a relaxed MnTl4Cu3Cl12 crystal.

The value obtained for the volume is 944 Å³/cell. The value obtained for the total energy is -69.107 eV per formula unit.

It has space group Im-3m (No. 229), with a = 9.8094 Å, b = 9.8094 Å, c = 9.8094 Å, α = 90.00°, β = 90.00° and γ = 90.00°. The asymmetric unit holds Mn at (0.0000, 0.0000, 0.0000), Tl at (0.2500, 0.2500, 0.2500), Cu at (0.0000, 0.0000, 0.5000), Cl at (0.0000, 0.0000, 0.2402) and Cl at (0.0000, 0.2500, 0.5000).

=====

Question: Which of these has the lowest volume?
Answer: MnCuTeCl2